# Li3Ac2As4Ir, relaxed, DFT PBE
data_Li3Ac2As4Ir
_chemical_formula_sum 'Li3 Ac2 As4 Ir1'
_cell_length_a 4.5147
_cell_length_b 4.5147
_cell_length_c 9.9370
_cell_angle_alpha 90.00
_cell_angle_beta 90.00
_cell_angle_gamma 90.00
_symmetry_space_group_name_H-M 'P -4 m 2'
_symmetry_Int_Tables_number 115
loop_
_symmetry_equiv_pos_as_xyz
'x,y,z'
'y,-x,-z'
'-x,-y,z'
'-y,x,-z'
'-x,y,z'
'-y,-x,-z'
'x,-y,z'
'y,x,-z'
loop_
_atom_site_label
_atom_site_type_symbol
_atom_site_fract_x
_atom_site_fract_y
_atom_site_fract_z
_atom_site_occupancy
Li1 Li 0.0000 0.0000 0.0000 1
Li2 Li 0.0000 0.5000 0.6215 1
Ac1 Ac 0.0000 0.5000 0.2431 1
As1 As 0.0000 0.0000 0.5000 1
As2 As 0.0000 0.5000 0.8773 1
As3 As 0.5000 0.5000 0.5000 1
Ir1 Ir 0.5000 0.5000 0.0000 1
# total magnetization	0.0	μB per formula unit
# DFT formation energy	-0.838	eV per atom
# N(E_F)	6.11	states/eV/f.u.

***

# LaAg2Br, relaxed, DFT PBE
data_LaAg2Br
_chemical_formula_sum 'La2 Ag4 Br2'
_cell_length_a 7.3235
_cell_length_b 7.3493
_cell_length_c 5.1748
_cell_angle_alpha 90.00
_cell_angle_beta 134.81
_cell_angle_gamma 90.00
_symmetry_space_group_name_H-M 'C 1 2 1'
_symmetry_Int_Tables_number 5
loop_
_symmetry_equiv_pos_as_xyz
'x,y,z'
'-x,y,-z'
'x+1/2,y+1/2,z'
'-x+1/2,y+1/2,-z'
loop_
_atom_site_label
_atom_site_type_symbol
_atom_site_fract_x
_atom_site_fract_y
_atom_site_fract_z
_atom_site_occupancy
La1 La 0.0000 0.0000 0.0000 1
Ag1 Ag 0.0000 0.2506 0.5000 1
Ag2 Ag 0.0000 0.5003 0.0000 1
Br1 Br 0.0000 0.7504 0.5000 1
# raw formation energy	-0.498	eV per atom
# distance to the lowest polymorph of the same formula	64	meV per atom
# total magnetization	0.0	μB per formula unit
# N(E_F)	1.26	states/eV/f.u.

***

# PmErGaNi, relaxed, DFT PBE
data_PmErGaNi
_chemical_formula_sum 'Pm2 Er2 Ga2 Ni2'
_cell_length_a 4.3091
_cell_length_b 3.8048
_cell_length_c 10.9788
_cell_angle_alpha 90.00
_cell_angle_beta 90.00
_cell_angle_gamma 90.00
_symmetry_space_group_name_H-M 'A m m 2'
_symmetry_Int_Tables_number 38
loop_
_symmetry_equiv_pos_as_xyz
'x,y,z'
'-x,-y,z'
'-x,y,z'
'x,-y,z'
'x,y+1/2,z+1/2'
'-x,-y+1/2,z+1/2'
'-x,y+1/2,z+1/2'
'x,-y+1/2,z+1/2'
loop_
_atom_site_label
_atom_site_type_symbol
_atom_site_fract_x
_atom_site_fract_y
_atom_site_fract_z
_atom_site_occupancy
Pm1 Pm 0.0000 0.0000 0.0000 1
Er1 Er 0.5000 0.0000 0.7132 1
Ga1 Ga 0.5000 0.0000 0.4185 1
Ni1 Ni 0.0000 0.0000 0.2826 1
# distance to the lowest polymorph of the same formula	0	meV per atom
# total magnetization	0.0	μB per formula unit
# DFT formation energy	-0.460	eV per atom
# N(E_F)	4.09	states/eV/f.u.

***

# LiNb2HAu, relaxed, DFT PBE
data_LiNb2HAu
_chemical_formula_sum 'Li1 Nb2 H1 Au1'
_cell_length_a 4.0586
_cell_length_b 4.0586
_cell_length_c 4.2146
_cell_angle_alpha 90.00
_cell_angle_beta 90.00
_cell_angle_gamma 90.00
_symmetry_space_group_name_H-M 'P 4/m m m'
_symmetry_Int_Tables_number 123
_symmetry_space_group_name_Hall '-P 4 2'
loop_
_atom_site_label
_atom_site_type_symbol
_atom_site_fract_x
_atom_site_fract_y
_atom_site_fract_z
_atom_site_occupancy
Li1 Li 0.0000 0.0000 0.0000 1
Nb1 Nb 0.0000 0.5000 0.5000 1
H1 H 0.0000 0.0000 0.5000 1
Au1 Au 0.5000 0.5000 0.0000 1
# total magnetization	0.0	μB per formula unit
# N(E_F)	3.20	states/eV/f.u.
# raw total energy	-5.846	eV per atom

***

# TaNiPd3, relaxed, DFT PBE
data_TaNiPd3
_chemical_formula_sum 'Ta1 Ni1 Pd3'
_cell_length_a 4.4802
_cell_length_b 4.4802
_cell_length_c 4.4802
_cell_angle_alpha 90.00
_cell_angle_beta 90.00
_cell_angle_gamma 90.00
_symmetry_space_group_name_H-M 'P m -3 m'
_symmetry_Int_Tables_number 221
_symmetry_space_group_name_Hall '-P 4 2 3'
loop_
_atom_site_label
_atom_site_type_symbol
_atom_site_fract_x
_atom_site_fract_y
_atom_site_fract_z
_atom_site_occupancy
Ta1 Ta 0.0000 0.0000 0.0000 1
Ni1 Ni 0.5000 0.5000 0.5000 1
Pd1 Pd 0.0000 0.5000 0.5000 1
# distance to the lowest polymorph of the same formula	903	meV per atom
# total magnetization	0.0	μB per formula unit
# DFT formation energy	0.985	eV per atom
# N(E_F)	18.30	states/eV/f.u.

***

# Dy2Pd7Pb2, relaxed, DFT PBE
data_Dy2Pd7Pb2
_chemical_formula_sum 'Dy4 Pd14 Pb4'
_cell_length_a 9.1511
_cell_length_b 9.9220
_cell_length_c 5.5549
_cell_angle_alpha 90.00
_cell_angle_beta 90.00
_cell_angle_gamma 90.00
_symmetry_space_group_name_H-M 'C m m m'
_symmetry_Int_Tables_number 65
_symmetry_space_group_name_Hall '-C 2 2'
loop_
_atom_site_label
_atom_site_type_symbol
_atom_site_fract_x
_atom_site_fract_y
_atom_site_fract_z
_atom_site_occupancy
Dy1 Dy 0.2126 0.0000 0.0000 1
Pd1 Pd 0.0000 0.0000 0.5000 1
Pd2 Pd 0.0000 0.5000 0.2391 1
Pd3 Pd 0.2500 0.2500 0.2427 1
Pb1 Pb 0.0000 0.2677 0.5000 1
# total magnetization	0.0	μB per formula unit
# DFT formation energy	-0.236	eV per atom
# N(E_F)	4.46	states/eV/f.u.

***

# FeTe3P, relaxed, DFT PBE
data_FeTe3P
_chemical_formula_sum 'Fe1 Te3 P1'
_cell_length_a 5.1643
_cell_length_b 5.1643
_cell_length_c 5.1643
_cell_angle_alpha 90.00
_cell_angle_beta 90.00
_cell_angle_gamma 90.00
_symmetry_space_group_name_H-M 'P m -3 m'
_symmetry_Int_Tables_number 221
_symmetry_space_group_name_Hall '-P 4 2 3'
loop_
_atom_site_label
_atom_site_type_symbol
_atom_site_fract_x
_atom_site_fract_y
_atom_site_fract_z
_atom_site_occupancy
Fe1 Fe 0.0000 0.0000 0.0000 1
Te1 Te 0.0000 0.5000 0.5000 1
P1 P 0.5000 0.5000 0.5000 1
# raw formation energy	1.222	eV per atom
# distance to the lowest polymorph of the same formula	1207	meV per atom
# total magnetization	0.3	μB per formula unit
# N(E_F)	8.21	states/eV/f.u.

***

# ZrAlNi, relaxed, DFT PBE
data_ZrAlNi
_chemical_formula_sum 'Zr4 Al4 Ni4'
_cell_length_a 4.4955
_cell_length_b 7.9231
_cell_length_c 5.9058
_cell_angle_alpha 90.00
_cell_angle_beta 90.00
_cell_angle_gamma 90.00
_symmetry_space_group_name_H-M 'I m m a'
_symmetry_Int_Tables_number 74
_symmetry_space_group_name_Hall '-I 2b 2'
loop_
_atom_site_label
_atom_site_type_symbol
_atom_site_fract_x
_atom_site_fract_y
_atom_site_fract_z
_atom_site_occupancy
Zr1 Zr 0.0000 0.0000 0.0000 1
Al1 Al 0.0000 0.2500 0.3809 1
Ni1 Ni 0.2500 0.2500 0.7500 1
# total magnetization	0.0	μB per formula unit
# DFT formation energy	-0.246	eV per atom
# N(E_F)	3.09	states/eV/f.u.

***

# Na2TiNi, relaxed, DFT PBE
data_Na2TiNi
_chemical_formula_sum 'Na8 Ti4 Ni4'
_cell_length_a 9.8813
_cell_length_b 9.8813
_cell_length_c 4.4261
_cell_angle_alpha 90.00
_cell_angle_beta 90.00
_cell_angle_gamma 90.00
_symmetry_space_group_name_H-M 'I -4 2 d'
_symmetry_Int_Tables_number 122
_symmetry_space_group_name_Hall 'I -4 2bw'
loop_
_atom_site_label
_atom_site_type_symbol
_atom_site_fract_x
_atom_site_fract_y
_atom_site_fract_z
_atom_site_occupancy
Na1 Na 0.1282 0.2500 0.1250 1
Ti1 Ti 0.0000 0.0000 0.5000 1
Ni1 Ni 0.0000 0.0000 0.0000 1
# distance to the lowest polymorph of the same formula	0	meV per atom
# total magnetization	0.0	μB per formula unit
# DFT formation energy	0.825	eV per atom
# N(E_F)	5.46	states/eV/f.u.

***

# AcY4Tm6, relaxed, DFT PBE
data_AcY4Tm6
_chemical_formula_sum 'Ac2 Y8 Tm12'
_cell_length_a 7.8598
_cell_length_b 7.8598
_cell_length_c 12.7007
_cell_angle_alpha 90.00
_cell_angle_beta 90.00
_cell_angle_gamma 90.00
_symmetry_space_group_name_H-M 'I -4 2 m'
_symmetry_Int_Tables_number 121
_symmetry_space_group_name_Hall 'I -4 2'
loop_
_atom_site_label
_atom_site_type_symbol
_atom_site_fract_x
_atom_site_fract_y
_atom_site_fract_z
_atom_site_occupancy
Ac1 Ac 0.0000 0.0000 0.0000 1
Y1 Y 0.1645 0.1645 0.4257 1
Tm1 Tm 0.0000 0.5000 0.0000 1
Tm2 Tm 0.2358 0.2358 0.6874 1
# distance to the lowest polymorph of the same formula	338	meV per atom
# total magnetization	0.0	μB per formula unit
# DFT formation energy	0.474	eV per atom
# N(E_F)	19.20	states/eV/f.u.